Material: BaFeTc2
Method: DFT, PBE
State: optimized geometry

Calculated values
Energy relative to the lowest polymorph listed for this composition, eV per atom: 0.5114
Space-group type: No. 141
Total energy, eV for the cell shown: -54.0

Lattice parameters (Å, degrees): 4.889 4.889 9.076 74.38 74.38 90.00
Last column: magnetic moment on the atom in μB.
Sites, in units of the cell vectors:
1 Fe 0.500 0.500 0.000  2.07
2 Fe 0.250 0.750 0.500  2.07
3 Ba 0.000 0.000 0.000  -0.01
4 Ba 0.750 0.250 0.500  -0.01
5 Tc 0.375 0.125 0.250  -0.14
6 Tc 0.375 0.625 0.250  -0.14
7 Tc 0.375 0.625 0.750  -0.09
8 Tc 0.875 0.625 0.750  0.01

---

Material: BaFe4Tc
Method: DFT, PBE
State: optimized geometry

Calculated values
Space-group type: No. 216
Total energy, eV for the cell shown: -41.6

Lattice parameters (Å, degrees): 5.166 5.166 5.166 60.00 60.00 60.00
Last column: magnetic moment on the atom in μB.
Sites, in units of the cell vectors:
1 Ba 0.000 0.000 0.000  -0.03
2 Fe 0.867 0.378 0.378  2.71
3 Fe 0.378 0.378 0.867  2.71
4 Fe 0.378 0.867 0.378  2.71
5 Fe 0.378 0.378 0.378  2.71
6 Tc 0.750 0.750 0.750  1.71

---

Material: BaFeTc4
Method: DFT, PBE
State: optimized geometry

Calculated values
Space-group type: No. 216
Total energy, eV for the cell shown: -46.3

Lattice parameters (Å, degrees): 5.383 5.383 5.383 60.00 60.00 60.00
Last column: magnetic moment on the atom in μB.
Sites, in units of the cell vectors:
1 Ba 0.750 0.750 0.750  0.00
2 Fe 0.000 0.000 0.000  3.13
3 Tc 0.878 0.374 0.374  -0.04
4 Tc 0.374 0.374 0.878  -0.04
5 Tc 0.374 0.878 0.374  -0.04
6 Tc 0.374 0.374 0.374  -0.04

---

Material: BaFeTc
Method: DFT, PBE
State: optimized geometry

Calculated values
Energy relative to the lowest polymorph listed for this composition, eV per atom: 0.7946
Space-group type: No. 216
Total energy, eV for the cell shown: -16.5

Lattice parameters (Å, degrees): 4.686 4.686 4.686 60.00 60.00 60.00
Last column: magnetic moment on the atom in μB.
Sites, in units of the cell vectors:
1 Ba 0.500 0.500 0.500  -0.01
2 Fe 0.250 0.250 0.250  2.66
3 Tc 0.000 0.000 0.000  1.96

---

Material: BaFeTc
Method: DFT, PBE
State: optimized geometry

Calculated values
Energy relative to the lowest polymorph listed for this composition, eV per atom: 1.4978
Space-group type: No. 216
Total energy, eV for the cell shown: -14.4

Lattice parameters (Å, degrees): 4.728 4.728 4.728 60.00 60.00 60.00
Last column: magnetic moment on the atom in μB.
Sites, in units of the cell vectors:
1 Ba 0.250 0.250 0.250  -0.12
2 Fe 0.000 0.000 0.000  2.75
3 Tc 0.500 0.500 0.500  1.95

---

Material: Ba2FeTc
Method: DFT, PBE
State: optimized geometry

Calculated values
Energy relative to the lowest polymorph listed for this composition, eV per atom: 0.2365
Space-group type: No. 44
Total energy, eV for the cell shown: -20.2

Lattice parameters (Å, degrees): 7.042 7.042 7.042 149.05 136.81 54.08
Last column: magnetic moment on the atom in μB.
Sites, in units of the cell vectors:
1 Ba 0.014 0.014 0.000  0.00
2 Ba 0.739 0.239 0.500  0.00
3 Fe 0.420 0.420 0.000  0.06
4 Tc 0.327 0.827 0.500  -0.01

---

no.,formation enthalpy at 0 K (eV/atom)
1,1.027
2,0.754
3,0.932
4,1.412
5,2.115
6,0.619